(1)
# PBE ZrSc2In2, optimized geometry
# Calculated formation energy   -0.25 eV/atom
# Total magnetization   0.0 μB per cell
# Energy above the lowest structure with this stoichiometry   0 meV per atom
# D(E_F)   1.35 states/eV/atom
data_ZrSc2In2
_symmetry_space_group_name_H-M 'P 4/m b m'
_symmetry_Int_Tables_number 127
_symmetry_space_group_name_Hall '-P 4 2ab'
_cell_length_a 8.1547
_cell_length_b 8.1547
_cell_length_c 3.5082
_cell_angle_alpha 90.00
_cell_angle_beta 90.00
_cell_angle_gamma 90.00
loop_
_atom_site_label
_atom_site_fract_x
_atom_site_fract_y
_atom_site_fract_z
Zr1 0.0000 0.0000 0.0000
Sc1 0.1731 0.3269 0.5000
In1 0.1294 0.6294 0.0000

***

(2)
# PBE ZrSc7In4, optimized geometry
# Calculated formation energy   -0.06 eV/atom
# Total magnetization   0.0 μB per cell
# D(E_F)   1.21 states/eV/atom
data_ZrSc7In4
_symmetry_space_group_name_H-M 'C 1 2/m 1'
_symmetry_Int_Tables_number 12
_symmetry_space_group_name_Hall '-C 2y'
_cell_length_a 14.0390
_cell_length_b 5.3053
_cell_length_c 9.0605
_cell_angle_alpha 90.00
_cell_angle_beta 121.09
_cell_angle_gamma 90.00
loop_
_atom_site_label
_atom_site_fract_x
_atom_site_fract_y
_atom_site_fract_z
Zr1 0.0000 0.0000 0.0000
Sc1 0.0000 0.5000 0.0000
Sc2 0.0730 0.0000 0.4150
Sc3 0.2007 0.0000 0.8779
Sc4 0.2439 0.0000 0.2822
In1 0.0548 0.5000 0.7138
In2 0.1797 0.5000 0.3443

***

(3)
# PBE Zr4ScIn, optimized geometry
# Calculated formation energy   -0.16 eV/atom
# Total magnetization   0.0 μB per cell
# Energy above the lowest structure with this stoichiometry   0 meV per atom
# D(E_F)   1.25 states/eV/atom
data_Zr4ScIn
_symmetry_space_group_name_H-M 'C m m m'
_symmetry_Int_Tables_number 65
_symmetry_space_group_name_Hall '-C 2 2'
_cell_length_a 4.4391
_cell_length_b 14.2334
_cell_length_c 4.3609
_cell_angle_alpha 90.00
_cell_angle_beta 90.00
_cell_angle_gamma 90.00
loop_
_atom_site_label
_atom_site_fract_x
_atom_site_fract_y
_atom_site_fract_z
Zr1 0.0000 0.1676 0.0000
Zr2 0.0000 0.3289 0.5000
Sc1 0.0000 0.5000 0.0000
In1 0.0000 0.0000 0.5000

***

(4)
# PBE Zr2Sc3In, optimized geometry
# Calculated formation energy   0.00 eV/atom
# Total magnetization   0.0 μB per cell
# Energy above the lowest structure with this stoichiometry   126 meV per atom
# D(E_F)   1.37 states/eV/atom
data_Zr2Sc3In
_symmetry_space_group_name_H-M 'C m c m'
_symmetry_Int_Tables_number 63
_symmetry_space_group_name_Hall '-C 2c 2'
_cell_length_a 6.2550
_cell_length_b 15.7606
_cell_length_c 5.7648
_cell_angle_alpha 90.00
_cell_angle_beta 90.00
_cell_angle_gamma 90.00
loop_
_atom_site_label
_atom_site_fract_x
_atom_site_fract_y
_atom_site_fract_z
Zr1 0.2438 0.0000 0.0000
Sc1 0.0000 0.1486 0.2500
Sc2 0.2475 0.1730 0.7500
In1 0.0000 0.3473 0.7500

***

(5)
# PBE ZrSc3In2, optimized geometry
# Calculated formation energy   -0.23 eV/atom
# Total magnetization   3.1 μB per cell
# D(E_F)   1.25 states/eV/atom
data_ZrSc3In2
_symmetry_space_group_name_H-M 'P n m a'
_symmetry_Int_Tables_number 62
_symmetry_space_group_name_Hall '-P 2ac 2n'
_cell_length_a 8.3266
_cell_length_b 3.3074
_cell_length_c 20.1157
_cell_angle_alpha 90.00
_cell_angle_beta 90.00
_cell_angle_gamma 90.00
loop_
_atom_site_label
_atom_site_fract_x
_atom_site_fract_y
_atom_site_fract_z
Zr1 0.0474 0.2500 0.0629
Sc1 0.0058 0.7500 0.6624
Sc2 0.1390 0.2500 0.5403
Sc3 0.1396 0.7500 0.8007
In1 0.1807 0.7500 0.1905
In2 0.2323 0.7500 0.4202

***

(6)
# PBE Zr5ScIn2, optimized geometry
# Calculated formation energy   -0.25 eV/atom
# Total magnetization   0.0 μB per cell
# D(E_F)   1.06 states/eV/atom
data_Zr5ScIn2
_symmetry_space_group_name_H-M 'P b a m'
_symmetry_Int_Tables_number 55
_symmetry_space_group_name_Hall '-P 2 2ab'
_cell_length_a 6.3387
_cell_length_b 12.6368
_cell_length_c 4.4708
_cell_angle_alpha 90.00
_cell_angle_beta 90.00
_cell_angle_gamma 90.00
loop_
_atom_site_label
_atom_site_fract_x
_atom_site_fract_y
_atom_site_fract_z
Zr1 0.0000 0.0000 0.0000
Zr2 0.0071 0.2495 0.0000
Zr3 0.2432 0.8722 0.5000
Sc1 0.0000 0.5000 0.0000
In1 0.2441 0.6231 0.5000